Entry 1:
VASP calculation (PBE-GGA) on crystalline RbCd3Au3 at its relaxed geometry.

The calculation puts the magnetic moment at 0.0 μB per formula unit. The calculation puts the energy above the most stable polymorph in this dataset at 0 meV per atom. The calculated total energy comes out at -2.07 eV/atom. The formation energy comes out at -3.0 kcal/mol of atoms.

It has space group R-3 (No. 148, hexagonal axes), with a = 7.4414 Å, b = 7.4414 Å, c = 25.0078 Å, α = 90.00°, β = 90.00° and γ = 120.00°. The inequivalent atoms are Rb at (0.0000, 0.0000, 0.1627), Cd at (0.0264, 0.5872, 0.3755) and Au at (0.0102, 0.7863, 0.5943).

Entry 2:
VASP calculation (PBE-GGA) on crystalline SrInRu2 at its relaxed geometry.

The calculation puts the magnetic moment at 0.0 μB per formula unit. The calculated total energy comes out at -5.08 eV/atom. The formation energy comes out at 15.2 kcal/mol of atoms.

It has space group R-3m (No. 166, hexagonal axes), with a = 3.2070 Å, b = 3.2070 Å, c = 26.8059 Å, α = 90.00°, β = 90.00° and γ = 120.00°. The inequivalent atoms are Sr at (0.0000, 0.0000, 0.0000), In at (0.0000, 0.0000, 0.5000) and Ru at (0.0000, 0.0000, 0.2427).

Entry 3:
VASP calculation (PBE-GGA) on crystalline Pa2ReSi at its relaxed geometry.

As for the energy relative to the elements, uncorrected: -1.24 eV per formula unit. The calculation puts the magnetic moment at 0.0 μB per formula unit. The calculation puts the energy above the most stable polymorph in this dataset at 0 meV per atom. The calculated total energy comes out at -9.53 eV/atom.

It has space group P2_1/m (No. 11), with a = 5.7872 Å, b = 3.9782 Å, c = 7.9814 Å, α = 90.00°, β = 110.86° and γ = 90.00°. The inequivalent atoms are Pa at (0.2073, 0.2500, 0.4099), Pa at (0.2796, 0.7500, 0.0672), Re at (0.1315, 0.2500, 0.7925) and Si at (0.3535, 0.7500, 0.7044).

Entry 4:
VASP calculation (PBE-GGA) on crystalline YReAu at its relaxed geometry.

The calculation puts the magnetic moment at 0.0 μB per formula unit. The calculation puts the energy above the most stable polymorph in this dataset at 95 meV per atom. The calculated total energy comes out at -7.12 eV/atom. The formation energy comes out at 6.4 kcal/mol of atoms.

It has space group Imm2 (No. 44), with a = 3.1500 Å, b = 3.7442 Å, c = 10.2719 Å, α = 90.00°, β = 90.00° and γ = 90.00°. The inequivalent atoms are Y at (0.0000, 0.0000, 0.0000), Re at (0.0000, 0.0000, 0.3191) and Au at (0.0000, 0.0000, 0.6927).

Entry 5:
VASP calculation (PBE-GGA) on crystalline LaCuRh at its relaxed geometry.

The calculation puts the magnetic moment at 0.0 μB per formula unit. The calculation puts the energy above the most stable polymorph in this dataset at 247 meV per atom. The calculated total energy comes out at -5.71 eV/atom. The formation energy comes out at -5.9 kcal/mol of atoms.

It has space group I4mm (No. 107), with a = 3.5311 Å, b = 3.5311 Å, c = 9.5571 Å, α = 90.00°, β = 90.00° and γ = 90.00°. The inequivalent atoms are La at (0.0000, 0.0000, 0.0000), Cu at (0.0000, 0.0000, 0.6993) and Rh at (0.0000, 0.0000, 0.3060).

Entry 6:
VASP calculation (PBE-GGA) on crystalline BaCoPd2 at its relaxed geometry.

The calculation puts the magnetic moment at 2.1 μB per formula unit. The calculated total energy comes out at -4.77 eV/atom. The formation energy comes out at 1.9 kcal/mol of atoms.

It has space group I-42d (No. 122), with a = 5.1464 Å, b = 5.1464 Å, c = 16.2947 Å, α = 90.00°, β = 90.00° and γ = 90.00°. The inequivalent atoms are Ba at (0.0000, 0.0000, 0.0000), Co at (0.0000, 0.0000, 0.5000) and Pd at (0.0406, 0.7500, 0.6250).